# 1
# GGA-PBE YTmN, optimized geometry
# - SG: P3m1, No. 156
# - Density of states at the Fermi level: 2.50 states/eV/f.u.
# - Total magnetization: 0.8 μB per cell
# - Uncorrected formation energy: -1075 meV/atom
# - Polymorph energy (0 for the lowest one): 0.0482 eV/atom
data_YTmN
_cell_length_a 5.904
_cell_length_b 3.473
_cell_length_c 3.473
_cell_angle_alpha 120.00
_cell_angle_beta 90.00
_cell_angle_gamma 90.00
_space_group_name_H-M_alt 'P 1'
_space_group_IT_number 1
loop_
_space_group_symop_operation_xyz
'x,y,z'
loop_
_atom_site_label
_atom_site_type_symbol
_atom_site_fract_x
_atom_site_fract_y
_atom_site_fract_z
_atom_site_occupancy
Tm1 Tm 0.555 0.667 0.333 1
Y1 Y 0.103 0.000 0.000 1
N1 N 0.342 0.333 0.667 1



# 2
# GGA-PBE YTmN2, optimized geometry
# - SG: R3m, No. 160
# - Density of states at the Fermi level: 0.02 states/eV/f.u.
# - Total magnetization: 0.0 μB per cell
# - Uncorrected formation energy: -1513 meV/atom
data_YTmN2
_cell_length_a 3.383
_cell_length_b 3.383
_cell_length_c 6.173
_cell_angle_alpha 74.10
_cell_angle_beta 74.10
_cell_angle_gamma 60.00
_space_group_name_H-M_alt 'P 1'
_space_group_IT_number 1
loop_
_space_group_symop_operation_xyz
'x,y,z'
loop_
_atom_site_label
_atom_site_type_symbol
_atom_site_fract_x
_atom_site_fract_y
_atom_site_fract_z
_atom_site_occupancy
N1 N 0.081 0.081 0.758 1
N2 N 0.254 0.254 0.239 1
Tm1 Tm 0.668 0.668 0.995 1
Y1 Y 0.497 0.497 0.508 1



For each record above, in turn, the calculated total energy values are -22.5; -33.6 eV for the cell shown.
For each record above, in turn, the calculated volume values are 20.561; 14.514 Å³ per atom.